Entry 1:
Density functional theory data (PBE) for an optimized crystal structure of BeS3.

The calculation puts the total magnetization at 0.0 Bohr magnetons per cell. As for the formation energy from raw total energies: -3.93 kcal/mol of atoms. The uncorrected energy comes out at -4.1974 eV/atom. The calculation puts the calculated volume at 30.2 Å³ per atom.

Cell lengths 8.1383, 3.5724, 8.5470 Å; angles 90.00, 103.16, 90.00 degrees
With the nearest neighbours (Å) after each atom.
Space group P2_1/m (No. 11)
One atom of each set of equivalent atoms:
Be 0.0693 0.2500 0.4811 [2 per cell]  3 S 2.01-2.06, 2 Be 2.18
S 0.1841 0.7500 0.5202 [2 per cell]  3 Be 2.01-2.06
S 0.1916 0.2500 0.9806 [2 per cell]  2 S 2.09
S 0.3190 0.7500 0.0540 [2 per cell]  2 S 2.09


Entry 2:
Density functional theory data (PBE) for an optimized crystal structure of BeS4.

The calculation puts the total magnetization at 0.0 Bohr magnetons per cell. As for the formation energy from raw total energies: 15.67 kcal/mol of atoms. The uncorrected energy comes out at -3.3676 eV/atom. The calculation puts the calculated volume at 15.7 Å³ per atom. The calculation puts the excess energy over the best structure of this formula in the dataset at 683 meV per atom.

Cell lengths 4.2802, 4.2802, 4.2802 Å; angles 90.00, 90.00, 90.00 degrees
With the nearest neighbours (Å) after each atom.
Space group Pm-3m (No. 221)
One atom of each set of equivalent atoms:
Be 0.0000 0.0000 0.0000 [1 per cell]  6 S 2.14
S 0.0000 0.0000 0.5000 [3 per cell]  2 Be 2.14
S 0.5000 0.5000 0.5000 [1 per cell]  12 S 3.03


Entry 3:
Density functional theory data (PBE) for an optimized crystal structure of BeS8.

The calculation puts the total magnetization at 0.0 Bohr magnetons per cell. As for the formation energy from raw total energies: 6.32 kcal/mol of atoms. The uncorrected energy comes out at -3.8089 eV/atom. The calculation puts the calculated volume at 23.2 Å³ per atom.

Cell lengths 5.1663, 9.6869, 16.6754 Å; angles 90.00, 90.00, 90.00 degrees
With the nearest neighbours (Å) after each atom.
Space group Fmmm (No. 69)
One atom of each set of equivalent atoms:
Be 0.0000 0.0000 0.0000 [4 per cell]  4 S 2.09-2.28
S 0.0000 0.0000 0.1253 [8 per cell]  1 Be 2.09, 2 S 2.30
S 0.0000 0.2355 0.0000 [8 per cell]  1 Be 2.28, 2 S 2.30
S 0.0000 0.2363 0.1381 [16 per cell]  2 S 2.30


The records above yield Fermi-level density of states values of 0.26, 3.04, 2.93 states/eV/f.u., respectively.